Here is a relaxed structure of Na2Mg2WO6 from Alexandria via LeMat-Bulk. Energies are from PBE with a Hubbard U.

SG: C2/m (12)
DFT total energy (eV/atom): -6.1326

abc: 5.2806 5.2806 5.8674
angles: 99.75 99.75 118.75
With the nearest neighbours (Å) after each atom.
Element x y z (fractional)
Na: 0.8249 0.1751 0.0000  6 O 2.43-2.46
Na: 0.1751 0.8249 0.0000  6 O 2.43-2.46
Mg: 0.3365 0.6635 0.5000  6 O 2.10-2.17
Mg: 0.6635 0.3365 0.5000  6 O 2.10-2.17
W: 0.0000 0.0000 0.5000  6 O 1.96-1.97
O: 0.7618 0.7618 0.6909  1 W 1.96, 2 Mg 2.10
O: 0.0612 0.3780 0.6944  1 W 1.97, 2 Mg 2.10-2.17
O: 0.2382 0.2382 0.3091  1 W 1.96, 2 Mg 2.10
O: 0.3780 0.0612 0.6944  1 W 1.97, 2 Mg 2.10-2.17
O: 0.9388 0.6220 0.3056  1 W 1.97, 2 Mg 2.10-2.17
O: 0.6220 0.9388 0.3056  1 W 1.97, 2 Mg 2.10-2.17